Material: NaTl2Cu2Cl7
Method: DFT, PBE
State: relaxed

Space-group type: C2/m, No. 12
Uncorrected formation energy in eV/atom: -0.85

Cell lengths 4.8879, 4.8879, 12.9428 Å; angles 79.28, 79.28, 90.01 degrees
Atoms (fractional coordinates):
Cu 0.4075 0.4075 0.1895
Cu 0.5925 0.5925 0.8105
Cl 0.0871 0.5866 0.8215
Cl 0.6853 0.6853 0.6217
Cl 0.4134 0.9129 0.1785
Cl 0.5000 0.5000 0.0000
Cl 0.3147 0.3147 0.3783
Cl 0.9129 0.4134 0.1785
Cl 0.5866 0.0871 0.8215
Tl 0.1768 0.1768 0.6411
Tl 0.8232 0.8232 0.3589
Na 0.0000 0.0000 0.0000


Material: NaTlCuCl3
Method: DFT, PBE
State: relaxed

Space-group type: P2_1/m, No. 11
Uncorrected formation energy in eV/atom: -1.06

Cell lengths 4.0514, 8.8867, 9.1857 Å; angles 103.78, 90.00, 90.00 degrees
Atoms (fractional coordinates):
Cl 0.7500 0.1990 0.5304
Cl 0.7500 0.8819 0.1530
Cl 0.7500 0.4402 0.1637
Cl 0.2500 0.8010 0.4696
Cl 0.2500 0.5598 0.8363
Cl 0.2500 0.1181 0.8470
Cu 0.2500 0.0646 0.5863
Cu 0.7500 0.9354 0.4137
Na 0.2500 0.6540 0.1486
Na 0.7500 0.3460 0.8514
Tl 0.7500 0.8051 0.7844
Tl 0.2500 0.1949 0.2156


Material: NaTl3Cu2Cl9
Method: DFT, PBE
State: relaxed

Space-group type: P-3m1, No. 164
Uncorrected formation energy in eV/atom: -0.80

Cell lengths 7.0251, 7.0251, 8.7982 Å; angles 90.00, 90.00, 120.00 degrees
Atoms (fractional coordinates):
Cl 0.8259 0.6519 0.6926
Cl 0.1741 0.3481 0.3074
Cl 0.0000 0.5000 0.0000
Cl 0.8259 0.1741 0.6926
Cl 0.5000 0.0000 0.0000
Cl 0.5000 0.5000 0.0000
Cl 0.6519 0.8259 0.3074
Cl 0.3481 0.1741 0.6926
Cl 0.1741 0.8259 0.3074
Cu 0.3333 0.6667 0.1582
Cu 0.6667 0.3333 0.8418
Tl 0.0000 0.0000 0.0000
Tl 0.6667 0.3333 0.3384
Tl 0.3333 0.6667 0.6616
Na 0.0000 0.0000 0.5000


Material: NaTmCuCl5
Method: DFT, PBE
State: relaxed

Space-group type: C2/c, No. 15
Uncorrected formation energy in eV/atom: -1.67

Cell lengths 7.1162, 7.1162, 9.6551 Å; angles 103.06, 103.06, 109.67 degrees
Atoms (fractional coordinates):
Cl 0.2580 0.3916 0.5620
Cl 0.3916 0.2580 0.0620
Cl 0.9059 0.0941 0.7500
Cl 0.6084 0.7420 0.9380
Cl 0.9493 0.3310 0.1347
Cl 0.3310 0.9493 0.6347
Cl 0.6690 0.0507 0.3653
Cl 0.0507 0.6690 0.8653
Cl 0.7420 0.6084 0.4380
Cl 0.0941 0.9059 0.2500
Tm 0.0000 0.0000 0.5000
Tm 0.0000 0.0000 0.0000
Na 0.3725 0.6275 0.2500
Na 0.6275 0.3725 0.7500
Cu 0.3057 0.6943 0.7500
Cu 0.6943 0.3057 0.2500


Material: NaUCuCl6
Method: DFT, PBE
State: relaxed

Space-group type: P-31c, No. 163
Uncorrected formation energy in eV/atom: -1.43

Cell lengths 6.5433, 6.5433, 12.9504 Å; angles 90.00, 90.00, 120.00 degrees
Atoms (fractional coordinates):
Cl 0.0091 0.6533 0.8665
Cl 0.3467 0.9909 0.6335
Cl 0.6442 0.9909 0.8665
Cl 0.0091 0.3558 0.6335
Cl 0.9909 0.6442 0.3665
Cl 0.6533 0.6442 0.1335
Cl 0.3467 0.3558 0.8665
Cl 0.3558 0.0091 0.1335
Cl 0.9909 0.3467 0.1335
Cl 0.6442 0.6533 0.6335
Cl 0.6533 0.0091 0.3665
Cl 0.3558 0.3467 0.3665
Na 0.0000 0.0000 0.0000
Na 0.0000 0.0000 0.5000
U 0.3333 0.6667 0.2500
U 0.6667 0.3333 0.7500
Cu 0.3333 0.6667 0.7500
Cu 0.6667 0.3333 0.2500


Material: NaUCu2Cl8
Method: DFT, PBE
State: relaxed

Space-group type: P-1, No. 2
Uncorrected formation energy in eV/atom: -1.26

Cell lengths 6.4153, 6.8806, 8.4181 Å; angles 70.39, 90.85, 100.49 degrees
Atoms (fractional coordinates):
Cu 0.5321 0.3655 0.6651
Cu 0.4679 0.6345 0.3349
Cl 0.6141 0.7293 0.5557
Cl 0.8801 0.2124 0.1645
Cl 0.1199 0.7876 0.8355
Cl 0.3859 0.2707 0.4443
Cl 0.8470 0.2224 0.7246
Cl 0.1530 0.7776 0.2754
Cl 0.3565 0.2601 0.9229
Cl 0.6435 0.7399 0.0771
U 0.0000 0.0000 0.0000
Na 0.0000 0.0000 0.5000


Material: NaV2CuCl
Method: DFT, PBE
State: relaxed

Space-group type: P4/mmm, No. 123
Uncorrected formation energy in eV/atom: 1.55

Cell lengths 5.2429, 4.6180, 5.2429 Å; angles 90.00, 90.00, 90.00 degrees
Atoms (fractional coordinates):
Na 0.0000 0.0000 0.0000
Cu 0.5000 0.5000 0.5000
V 0.0000 0.0000 0.5000
V 0.5000 0.0000 0.0000
Cl 0.0000 0.5000 0.0000


Material: NaZnCu2Cl6
Method: DFT, PBE
State: relaxed

Space-group type: C2/c, No. 15
Uncorrected formation energy in eV/atom: -0.92

Cell lengths 7.0962, 8.8986, 8.8986 Å; angles 87.24, 74.37, 74.37 degrees
Atoms (fractional coordinates):
Cl 0.0188 0.7138 0.5676
Cl 0.4422 0.8470 0.3697
Cl 0.6648 0.8065 0.9559
Cl 0.8352 0.0441 0.1935
Cl 0.1648 0.9559 0.8065
Cl 0.3352 0.1935 0.0441
Cl 0.0578 0.6303 0.1530
Cl 0.5188 0.5676 0.7138
Cl 0.9422 0.3697 0.8470
Cl 0.9812 0.2862 0.4324
Cl 0.4812 0.4324 0.2862
Cl 0.5578 0.1530 0.6303
Cu 0.3032 0.7421 0.6118
Cu 0.1968 0.3882 0.2579
Cu 0.6968 0.2579 0.3882
Cu 0.8032 0.6118 0.7421
Na 0.7500 0.1181 0.8819
Na 0.2500 0.8819 0.1181
Zn 0.7500 0.8075 0.1925
Zn 0.2500 0.1925 0.8075


Calculated raw total energy (eV per formula unit), listed in the same order as above: -37.4, -19.7, -45.3, -32.5, -40.6, -50.7, -17.8, -31.1
Calculated calculated density (Mg/m³), listed in the same order as above: 4.5, 4.1, 4.8, 3.4, 3.7, 3.2, 2.9, 2.7
Calculated total magnetization (μB/atom), listed in the same order as above: 0.000, 0.000, 0.000, 0.018, 0.222, 0.074, 1.651, 0.108